Run A
A plane-wave DFT calculation with PBE was carried out for K2PtI after structural relaxation.

Lattice parameters (Å, degrees): 5.793 5.793 5.793 60.00 60.00 60.00
Site moments in Bohr magnetons follow the coordinates.
Positions (direct):
Pt: 0.500 0.500 0.500  0.73
K: 0.750 0.750 0.750  0.00
K: 0.250 0.250 0.250  0.00
I: 0.000 0.000 0.000  0.10

Summary:
total magnetization: 1.0 μB/f.u.



Run B
A plane-wave DFT calculation with PBE was carried out for K2PtI after structural relaxation.

Lattice parameters (Å, degrees): 12.004 12.004 8.945 47.86 47.86 90.00
Positions (direct):
I: 0.250 0.750 0.500
I: 0.500 0.500 0.000
K: 0.375 0.157 0.750
K: 0.907 0.625 0.250
K: 0.843 0.125 0.250
K: 0.875 0.093 0.750
Pt: 0.750 0.250 0.500
Pt: 0.000 0.000 0.000

Summary:
total magnetization: 0.0 μB/f.u.



Short version: run B is the most stable of them.



Run A
A plane-wave DFT calculation with PBE was carried out for KPt3I after structural relaxation.

Lattice parameters (Å, degrees): 5.088 5.088 5.088 90.00 90.00 90.00
Positions (direct):
I: 0.500 0.500 0.500
Pt: 0.000 0.500 0.000
Pt: 0.500 0.000 0.000
Pt: 0.000 0.000 0.500
K: 0.000 0.000 0.000

Summary:
total magnetization: 0.0 μB/f.u.



Run B
A plane-wave DFT calculation with PBE was carried out for KPt3I after structural relaxation.

Lattice parameters (Å, degrees): 5.087 5.087 5.087 90.00 90.00 90.00
Positions (direct):
Pt: 0.000 0.000 0.500
Pt: 0.000 0.500 0.000
Pt: 0.500 0.000 0.000
K: 0.500 0.500 0.500
I: 0.000 0.000 0.000

Summary:
total magnetization: 0.0 μB/f.u.



Short version: run B is the most stable of them.



Run A
A plane-wave DFT calculation with PBE was carried out for KSbPtI2 after structural relaxation.

Lattice parameters (Å, degrees): 5.943 5.943 5.082 90.00 90.00 90.00
Site moments in Bohr magnetons follow the coordinates.
Positions (direct):
I: 0.000 0.500 0.000  0.02
I: 0.500 0.000 0.000  0.02
Pt: 0.000 0.000 0.000  0.01
Sb: 0.000 0.000 0.500  0.11
K: 0.500 0.500 0.500  0.00

Summary:
total magnetization: 0.3 μB/f.u.



Run B
A plane-wave DFT calculation with PBE was carried out for KSbPtI2 after structural relaxation.

Lattice parameters (Å, degrees): 6.250 6.250 6.714 90.00 90.00 90.00
Site moments in Bohr magnetons follow the coordinates.
Positions (direct):
K: 0.000 0.000 0.000  0.02
I: 0.500 0.000 0.000  0.18
I: 0.000 0.500 0.000  0.18
Pt: 0.500 0.500 0.500  -0.18
Sb: 0.000 0.000 0.500  0.86

Summary:
total magnetization: 2.6 μB/f.u.



Short version: run A is the most stable of them.



Run A
A plane-wave DFT calculation with PBE was carried out for KTe2PtI after structural relaxation.

Lattice parameters (Å, degrees): 5.390 5.390 5.834 90.00 90.00 90.00
Site moments in Bohr magnetons follow the coordinates.
Positions (direct):
Pt: 0.000 0.000 0.000  0.06
Te: 0.000 0.500 0.000  0.07
Te: 0.500 0.000 0.000  0.07
I: 0.000 0.000 0.500  0.02
K: 0.500 0.500 0.500  0.00

Summary:
total magnetization: 0.3 μB/f.u.



Run B
A plane-wave DFT calculation with PBE was carried out for KTe2PtI after structural relaxation.

Lattice parameters (Å, degrees): 6.318 6.318 6.156 90.00 90.00 90.00
Site moments in Bohr magnetons follow the coordinates.
Positions (direct):
Pt: 0.500 0.500 0.500  0.65
Te: 0.000 0.500 0.000  0.80
Te: 0.500 0.000 0.000  0.80
I: 0.000 0.000 0.500  0.28
K: 0.000 0.000 0.000  0.02

Summary:
total magnetization: 4.1 μB/f.u.



Short version: run A is the most stable of them.



Run A
A plane-wave DFT calculation with PBE was carried out for KPu4I8 after structural relaxation.

Lattice parameters (Å, degrees): 8.510 8.510 10.291 90.00 114.42 120.00
Site moments in Bohr magnetons follow the coordinates.
Positions (direct):
I: 0.984 0.744 0.224  -0.04
I: 0.984 0.240 0.224  -0.04
I: 0.016 0.256 0.776  -0.04
I: 0.480 0.240 0.224  -0.04
I: 0.481 0.741 0.222  -0.05
I: 0.519 0.259 0.778  -0.05
I: 0.520 0.760 0.776  -0.04
I: 0.016 0.760 0.776  -0.04
Pu: 0.000 0.000 0.000  5.79
Pu: 0.000 0.500 0.000  5.76
Pu: 0.500 0.500 0.000  5.76
Pu: 0.500 0.000 0.000  5.76
K: 0.000 0.500 0.500  0.00

Summary:
total magnetization: 25.0 μB/f.u.



Run B
A plane-wave DFT calculation with PBE was carried out for KPu4I8 after structural relaxation.

Lattice parameters (Å, degrees): 9.094 9.094 9.094 60.00 60.00 60.00
Site moments in Bohr magnetons follow the coordinates.
Positions (direct):
I: 0.116 0.653 0.116  0.00
I: 0.116 0.116 0.116  0.00
I: 0.116 0.116 0.653  0.00
I: 0.607 0.607 0.607  0.00
I: 0.607 0.179 0.607  0.00
I: 0.607 0.607 0.179  0.00
I: 0.653 0.116 0.116  0.00
I: 0.179 0.607 0.607  0.00
K: 0.750 0.750 0.750  0.00
Pu: 0.354 0.354 0.354  0.20
Pu: 0.938 0.354 0.354  0.20
Pu: 0.354 0.938 0.354  0.20
Pu: 0.354 0.354 0.938  0.20

Summary:
total magnetization: 0.0 μB/f.u.



Short version: run A is the most stable of them.



Run A
A plane-wave DFT calculation with PBE was carried out for KRbI after structural relaxation.

Lattice parameters (Å, degrees): 7.085 4.847 13.190 100.90 110.27 110.94
Positions (direct):
K: 0.643 0.277 0.395
K: 0.357 0.723 0.605
Rb: 0.926 0.786 0.162
Rb: 0.074 0.214 0.838
I: 0.356 0.507 0.157
I: 0.644 0.493 0.843

Summary:
total magnetization: 0.0 μB/f.u.



Run B
A plane-wave DFT calculation with PBE was carried out for KRbI after structural relaxation.

Lattice parameters (Å, degrees): 4.473 4.473 8.997 104.39 104.39 90.00
Positions (direct):
I: 0.672 0.672 0.344
K: 0.292 0.292 0.584
Rb: 0.036 0.036 0.072

Summary:
total magnetization: 0.0 μB/f.u.



Run C
A plane-wave DFT calculation with PBE was carried out for KRbI after structural relaxation.

Lattice parameters (Å, degrees): 5.014 5.014 8.664 90.00 90.00 120.00
Positions (direct):
K: 0.333 0.667 0.586
I: 0.667 0.333 0.344
Rb: 0.000 0.000 0.070

Summary:
total magnetization: 0.0 μB/f.u.



Short version: run C is the most stable of them.



Run A
A plane-wave DFT calculation with PBE was carried out for KRbI2 after structural relaxation.

Lattice parameters (Å, degrees): 8.204 8.204 9.903 65.53 65.53 90.00
Positions (direct):
I: 0.609 0.125 0.250
I: 0.141 0.625 0.250
I: 0.875 0.859 0.750
I: 0.375 0.391 0.750
K: 0.250 0.750 0.500
K: 0.500 0.500 0.000
Rb: 0.000 0.000 0.000
Rb: 0.750 0.250 0.500

Summary:
total magnetization: 0.0 μB/f.u.



Run B
A plane-wave DFT calculation with PBE was carried out for KRbI2 after structural relaxation.

Lattice parameters (Å, degrees): 5.171 5.171 8.967 90.01 106.74 120.01
Positions (direct):
K: 0.000 0.000 0.000
Rb: 0.000 0.500 0.500
I: 0.507 0.254 0.761
I: 0.493 0.746 0.239

Summary:
total magnetization: 0.0 μB/f.u.



Run C
A plane-wave DFT calculation with PBE was carried out for KRbI2 after structural relaxation.

Lattice parameters (Å, degrees): 5.061 5.061 9.377 74.34 74.34 60.00
Positions (direct):
Rb: 0.668 0.668 0.997
I: 0.085 0.085 0.744
I: 0.248 0.248 0.255
K: 0.499 0.499 0.503

Summary:
total magnetization: 0.0 μB/f.u.



Short version: run B is the most stable of them.



Run A
A plane-wave DFT calculation with PBE was carried out for K2RbI2 after structural relaxation.

Lattice parameters (Å, degrees): 10.015 10.015 4.955 90.00 90.00 90.00
Positions (direct):
I: 0.152 0.348 0.000
I: 0.348 0.848 0.000
I: 0.652 0.152 0.000
I: 0.848 0.652 0.000
Rb: 0.000 0.000 0.000
Rb: 0.500 0.500 0.000
K: 0.850 0.350 0.500
K: 0.150 0.650 0.500
K: 0.650 0.850 0.500
K: 0.350 0.150 0.500

Summary:
total magnetization: 0.4 μB/f.u.



Run B
A plane-wave DFT calculation with PBE was carried out for K2RbI2 after structural relaxation.

Lattice parameters (Å, degrees): 6.262 6.262 9.589 70.94 70.94 90.00
Positions (direct):
K: 0.250 0.750 0.500
K: 0.750 0.250 0.500
I: 0.340 0.340 0.320
I: 0.660 0.660 0.680
Rb: 0.000 0.000 0.000

Summary:
total magnetization: 0.0 μB/f.u.



Short version: run A is the most stable of them.



Run A
A plane-wave DFT calculation with PBE was carried out for KRbI3 after structural relaxation.

Lattice parameters (Å, degrees): 6.892 6.892 6.892 90.00 90.00 90.00
Site moments in Bohr magnetons follow the coordinates.
Positions (direct):
K: 0.500 0.500 0.500  0.00
I: 0.000 0.500 0.000  0.24
I: 0.500 0.000 0.000  0.20
I: 0.000 0.000 0.500  0.16
Rb: 0.000 0.000 0.000  0.01

Summary:
total magnetization: 1.0 μB/f.u.



Run B
A plane-wave DFT calculation with PBE was carried out for KRbI3 after structural relaxation.

Lattice parameters (Å, degrees): 6.638 6.638 6.638 90.00 90.00 90.00
Site moments in Bohr magnetons follow the coordinates.
Positions (direct):
K: 0.000 0.000 0.000  0.00
I: 0.000 0.000 0.500  0.14
I: 0.500 0.000 0.000  0.22
I: 0.000 0.500 0.000  0.25
Rb: 0.500 0.500 0.500  0.00

Summary:
total magnetization: 1.0 μB/f.u.



Short version: run B is the most stable of them.



Run A
A plane-wave DFT calculation with PBE was carried out for KRbSb2I after structural relaxation.

Lattice parameters (Å, degrees): 6.566 6.566 6.883 90.00 90.00 90.00
Site moments in Bohr magnetons follow the coordinates.
Positions (direct):
K: 0.500 0.500 0.500  0.00
I: 0.000 0.000 0.500  0.10
Sb: 0.000 0.500 0.000  0.51
Sb: 0.500 0.000 0.000  0.51
Rb: 0.000 0.000 0.000  0.04

Summary:
total magnetization: 3.0 μB/f.u.



Run B
A plane-wave DFT calculation with PBE was carried out for KRbSb2I after structural relaxation.

Lattice parameters (Å, degrees): 6.324 6.324 6.707 90.00 90.00 90.00
Site moments in Bohr magnetons follow the coordinates.
Positions (direct):
I: 0.000 0.000 0.500  0.12
Rb: 0.500 0.500 0.500  0.01
Sb: 0.500 0.000 0.000  0.49
Sb: 0.000 0.500 0.000  0.49
K: 0.000 0.000 0.000  0.04

Summary:
total magnetization: 2.9 μB/f.u.



Short version: run B is the most stable of them.



Run A
A plane-wave DFT calculation with PBE was carried out for KRb2SbI6 after structural relaxation.

Lattice parameters (Å, degrees): 8.587 9.171 12.407 90.00 89.86 90.00
Positions (direct):
Rb: 0.532 0.586 0.750
Rb: 0.968 0.086 0.750
Rb: 0.468 0.414 0.250
Rb: 0.032 0.914 0.250
I: 0.210 0.177 0.444
I: 0.618 0.036 0.269
I: 0.118 0.464 0.769
I: 0.382 0.964 0.731
I: 0.882 0.536 0.231
I: 0.168 0.217 0.062
I: 0.790 0.823 0.556
I: 0.290 0.677 0.056
I: 0.710 0.323 0.944
I: 0.332 0.717 0.438
I: 0.832 0.783 0.938
I: 0.668 0.283 0.562
K: 0.500 0.000 0.000
K: 0.000 0.500 0.500
Sb: 0.000 0.500 0.000
Sb: 0.500 0.000 0.500

Summary:
total magnetization: 0.0 μB/f.u.



Run B
A plane-wave DFT calculation with PBE was carried out for KRb2SbI6 after structural relaxation.

Lattice parameters (Å, degrees): 9.025 9.025 9.025 60.00 60.00 90.00
Positions (direct):
Rb: 0.250 0.750 0.500
Rb: 0.750 0.250 0.500
I: 0.763 0.763 0.473
I: 0.237 0.237 0.527
I: 0.236 0.764 0.000
I: 0.764 0.236 0.000
I: 0.764 0.764 0.000
I: 0.236 0.236 0.000
K: 0.500 0.500 0.000
Sb: 0.000 0.000 0.000

Summary:
total magnetization: 0.0 μB/f.u.



Short version: run A is the most stable of them.